13
Lattice="9.111 -4.218 0.000 9.111 4.218 0.000 -0.981 0.000 8.029" Properties=species:S:1:pos:R:3 comment="GGA-PBE Ba8Na2Ni3, relaxed" e_form_ev_per_atom=0.097 spacegroup="No. 12" dft_energy_ev_per_atom=-2.62 pbc="T T T"
Ba 1.558 0.000 6.625
Ba 6.938 2.225 5.399
Ba 10.304 2.225 2.630
Ba 7.205 0.000 0.842
Ba 10.037 0.000 7.186
Ba 6.938 -2.225 5.399
Ba 10.304 -2.225 2.630
Ba 15.684 0.000 1.404
Na 4.356 0.000 3.490
Na 12.886 0.000 4.539
Ni -0.490 0.000 4.014
Ni 9.111 2.965 0.000
Ni 9.111 -2.965 0.000

=====

24
Lattice="12.689 0.000 0.000 -6.345 10.989 0.000 0.000 0.000 8.805" Properties=species:S:1:pos:R:3 comment="GGA-PBE Ba8Na3Ni, relaxed" e_form_ev_per_atom=0.051 spacegroup="No. 186" dft_energy_ev_per_atom=-2.04 pbc="T T T"
Ba 0.000 0.000 2.451
Ba 0.000 0.000 6.853
Ba -2.262 6.020 2.746
Ba 0.000 4.045 0.000
Ba -2.841 8.967 0.000
Ba 0.000 7.326 6.464
Ba 3.503 2.023 4.402
Ba 2.262 6.020 2.746
Ba 0.000 9.938 2.746
Ba 6.345 1.051 7.149
Ba 4.083 4.969 7.149
Ba 2.841 8.967 0.000
Ba 6.345 3.663 2.062
Ba 9.186 2.023 4.402
Ba 6.345 6.944 4.402
Ba 8.607 4.969 7.149
Na 0.000 3.554 4.872
Na -3.267 9.212 4.872
Na 3.078 1.777 0.470
Na 3.267 9.212 4.872
Na 9.611 1.777 0.470
Na 6.345 7.435 0.470
Ni 0.000 7.326 0.824
Ni 6.345 3.663 5.227

=====

13
Lattice="9.739 -4.551 0.000 9.739 4.551 0.000 -0.077 0.000 7.644" Properties=species:S:1:pos:R:3 comment="GGA-PBE Ba8Na3Ni2, relaxed" e_form_ev_per_atom=0.048 spacegroup="No. 12" dft_energy_ev_per_atom=-2.33 pbc="T T T"
Ba 6.567 2.220 1.249
Ba 2.716 0.000 2.354
Ba 6.344 0.000 5.114
Ba 12.834 2.220 6.395
Ba 6.567 -2.220 1.249
Ba 13.056 0.000 2.529
Ba 16.685 0.000 5.290
Ba 12.834 -2.220 6.395
Na 9.700 1.791 3.822
Na 9.739 0.000 0.000
Na 9.700 -1.791 3.822
Ni 4.740 0.000 0.034
Ni 14.661 0.000 7.610

=====

24
Lattice="11.507 0.000 0.000 0.000 10.139 0.000 -6.046 0.000 10.147" Properties=species:S:1:pos:R:3 comment="GGA-PBE Ba4NaNi, relaxed" e_form_ev_per_atom=0.058 spacegroup="No. 14" dft_energy_ev_per_atom=-2.41 pbc="T T T"
Ba 0.696 2.527 0.415
Ba -2.327 2.543 5.489
Ba 2.332 5.702 2.224
Ba -0.691 9.506 7.298
Ba 0.042 5.710 6.091
Ba 3.065 9.499 1.018
Ba 1.960 1.928 4.614
Ba -1.063 3.141 9.687
Ba 6.524 6.998 0.459
Ba 3.501 8.211 5.533
Ba 2.396 0.640 9.129
Ba 5.419 4.429 4.056
Ba 6.152 0.632 2.849
Ba 3.129 4.437 7.922
Ba 7.788 7.596 4.658
Ba 4.765 7.612 9.731
Na -3.728 5.684 8.098
Na -0.705 9.525 3.024
Na 6.166 0.614 7.123
Na 9.189 4.455 2.049
Ni 3.446 2.533 2.062
Ni 0.423 2.536 7.135
Ni 5.037 7.602 3.011
Ni 2.014 7.606 8.085

=====

16
Lattice="8.244 0.000 0.000 0.000 8.244 0.000 0.000 0.000 8.244" Properties=species:S:1:pos:R:3 comment="GGA-PBE Ba2NaNi, relaxed" e_form_ev_per_atom=0.225 spacegroup="No. 225" dft_energy_ev_per_atom=-2.51 relative_energy_ev_per_atom=0.2080 pbc="T T T"
Ba 2.061 2.061 2.061
Ba 2.061 2.061 6.183
Ba 2.061 6.183 2.061
Ba 2.061 6.183 6.183
Ba 6.183 2.061 2.061
Ba 6.183 2.061 6.183
Ba 6.183 6.183 2.061
Ba 6.183 6.183 6.183
Na 0.000 0.000 0.000
Na 0.000 4.122 4.122
Na 4.122 0.000 4.122
Na 4.122 4.122 0.000
Ni 0.000 0.000 4.122
Ni 0.000 4.122 0.000
Ni 4.122 0.000 0.000
Ni 4.122 4.122 4.122

=====

12
Lattice="4.456 0.000 0.000 0.000 21.047 0.000 0.000 0.000 4.326" Properties=species:S:1:pos:R:3 comment="GGA-PBE BaNaNi, relaxed" e_form_ev_per_atom=0.023 spacegroup="No. 63" dft_energy_ev_per_atom=-2.98 relative_energy_ev_per_atom=0.0312 pbc="T T T"
Ba 0.000 1.756 1.081
Ba 0.000 19.290 3.244
Ba 2.228 8.767 3.244
Ba 2.228 12.280 1.081
Na 0.000 6.148 1.081
Na 0.000 14.899 3.244
Na 2.228 4.376 3.244
Na 2.228 16.671 1.081
Ni 0.000 10.116 1.081
Ni 0.000 10.931 3.244
Ni 2.228 0.408 3.244
Ni 2.228 20.639 1.081